The following is a DFT calculation (PBE-GGA) of a relaxed structure of YMg.

## Properties
ΔH_f (0 K): 0.07 eV/atom
space-group type: P-6m2

Cell and atoms, written as POSCAR:
```
YMg
1.0
3.446 0.000 0.000
-1.723 2.984 0.000
0.000 0.000 5.541
Mg Y
1 1
Direct
0.000 0.000 0.000
0.667 0.333 0.500
```